{"formula": "Mo2Pb2O7", "functional": "PBE+U", "state": "relaxed", "magnetic_moment_mub_per_atom": 0.180, "rho_g_cm3": 7.68, "relative_energy_ev_per_atom": 0.0000, "spacegroup": "Fd-3m", "lattice_angstrom": [[-0.4049, 0.0580, 7.5909], [6.0326, 2.1186, 4.1121], [-0.0891, 6.6114, 3.7512]], "species": ["Mo", "Mo", "Mo", "Mo", "O", "O", "O", "O", "O", "O", "O", "O", "O", "O", "O", "O", "O", "O", "Pb", "Pb", "Pb", "Pb"], "fractional_positions": [[0.1250, 0.6250, 0.1250], [0.1250, 0.1250, 0.1250], [0.6250, 0.1250, 0.1250], [0.1250, 0.1250, 0.6250], [0.1889, 0.8111, 0.8111], [0.8111, 0.1889, 0.8111], [0.0611, 0.4389, 0.4389], [0.4389, 0.0611, 0.4389], [0.4389, 0.4389, 0.0611], [0.7500, 0.7500, 0.7500], [0.1889, 0.1889, 0.8111], [0.1889, 0.8111, 0.1889], [0.5000, 0.5000, 0.5000], [0.0611, 0.0611, 0.4389], [0.8111, 0.1889, 0.1889], [0.8111, 0.8111, 0.1889], [0.0611, 0.4389, 0.0611], [0.4389, 0.0611, 0.0611], [0.6250, 0.1250, 0.6250], [0.6250, 0.6250, 0.1250], [0.6250, 0.6250, 0.6250], [0.1250, 0.6250, 0.6250]]}